No. 1
VASP calculation (PBE) on crystalline YAl4Ga2 at its relaxed geometry.

```
YAl4Ga2
1.0
5.394 0.000 -1.630
-0.492 5.372 -1.630
-1.101 -1.207 6.096
Ga Al Y
2 4 1
direct
0.642 0.642 0.284
0.358 0.358 0.716
0.250 0.750 0.500
0.750 0.250 0.500
0.500 0.000 0.000
0.000 0.500 0.000
0.000 0.000 0.000
```

Computed properties:
Magnetic moment ... 0.000 μB/f.u.
Symmetry ... No. 139
E_form ... 0.2262 eV/atom

No. 2
VASP calculation (PBE) on crystalline YAl2Ga2 at its relaxed geometry.

```
YAl2Ga2
1.0
-1.241 -7.186 2.565
-1.855 -2.237 -7.164
3.143 -0.750 -0.580
Al Ga Y
4 4 2
direct
0.662 0.838 0.500
0.838 0.338 0.500
0.338 0.162 0.500
0.162 0.662 0.500
0.369 0.869 0.000
0.131 0.369 0.000
0.869 0.631 0.000
0.631 0.131 0.000
0.000 0.000 0.000
0.500 0.500 0.000
```

Computed properties:
Magnetic moment ... 0.004 μB/f.u.
Symmetry ... No. 127
E_form ... -0.2322 eV/atom

Look up the magnetic moment of the first one.
0.000 μB/f.u.

What is the formula in the first record?
YAl4Ga2